# KBeAu4

A relaxed KBeAu4 crystal (PBE, Alexandria).

POSCAR file:
```
KBeAu4
1.0
0.0000 3.9743 3.9743
3.9743 0.0000 3.9743
3.9743 3.9743 0.0000
K Au Be
1 4 1
Cartesian
0.0000 0.0000 0.0000
4.9640 2.9846 4.9640
4.9640 4.9640 2.9846
2.9846 4.9640 4.9640
2.9846 2.9846 2.9846
5.9615 5.9615 5.9615
```

Calculated values
space-group type = F-43m
E above lowest polymorph = 415 meV per atom